Record 1
## AcLa12Pr7 (PBE)

Data for a geometry-optimized AcLa12Pr7 structure.

Properties
For the polymorph energy (0 for the lowest one), the calculation gives 0.00 kcal/mol of atoms. The formation energy comes out at 0.068 eV/atom.

extended XYZ file:
```
20
Lattice="-1.6664 7.9182 4.3468 -4.7290 1.3866 -7.7513 -5.8051 -5.5452 4.4633" Properties=species:S:1:pos:R:3 pbc="T T T"
Ac 0.0000 0.0000 0.0000
La -7.1907 4.1759 5.6248
La -2.4669 6.2133 1.1960
La -5.1696 1.6253 3.9868
La -5.7027 4.9681 2.3152
La -4.7284 -2.0360 4.4293
La -7.4966 -0.8684 2.3684
La -4.7039 4.6281 -1.3097
La -7.4721 5.7956 -3.3706
La -6.4978 -1.2085 -1.2565
La -7.0309 2.1343 -2.9281
La -9.7336 -2.4537 -0.1373
La -5.0099 -0.4163 -4.5661
Pr -9.1162 2.8260 2.9384
Pr -2.2792 2.6496 1.3048
Pr -3.3683 -0.8925 1.3325
Pr -6.1003 1.8798 0.5293
Pr -8.8322 4.6522 -0.2739
Pr -9.9214 1.1100 -0.2461
Pr -3.0843 0.9336 -1.8797
```

---

Record 2
## Ac6LaPr3 (PBE)

Data for a geometry-optimized Ac6LaPr3 structure.

Properties
For the polymorph energy (0 for the lowest one), the calculation gives 0.00 kcal/mol of atoms. The formation energy comes out at 0.121 eV/atom.

extended XYZ file:
```
20
Lattice="5.9713 0.0000 0.0000 0.0000 9.4235 -8.2808 0.0000 -1.2092 16.2459" Properties=species:S:1:pos:R:3 pbc="T T T"
Ac 1.4928 3.4255 5.2339
Ac 4.4785 4.7889 2.7312
Ac 1.4928 8.9634 -5.5530
Ac 4.4785 -0.7490 13.5181
Ac 1.4928 7.7633 3.1621
Ac 4.4784 0.4510 4.8030
Ac 1.4928 6.6300 -2.8919
Ac 4.4785 1.5843 10.8571
Ac 1.4928 3.9127 9.2982
Ac 4.4785 4.3016 -1.3331
Ac 1.4928 2.7049 0.9155
Ac 4.4785 5.5095 7.0497
La 1.4928 1.5649 13.1957
La 4.4785 6.6495 -5.2306
Pr 1.4928 0.3842 7.7198
Pr 4.4785 7.8302 0.2454
Pr 1.4928 5.9697 0.4146
Pr 4.4785 2.2447 7.5505
Pr 1.4928 7.6327 7.0517
Pr 4.4784 0.5817 0.9135
```

---

Record 3
## AcLa3Pr (PBE)

Data for a geometry-optimized AcLa3Pr structure.

Properties
For the polymorph energy (0 for the lowest one), the calculation gives 0.00 kcal/mol of atoms. The formation energy comes out at 0.110 eV/atom.

extended XYZ file:
```
10
Lattice="-4.3617 -0.7211 -4.3435 4.5173 -4.8938 0.3992 -10.8824 5.1703 10.0349" Properties=species:S:1:pos:R:3 pbc="T T T"
Ac -6.1224 -1.6075 0.9962
Ac 0.1959 -3.8149 -0.4270
La -4.6567 -0.6223 7.5759
La -5.4745 0.4248 4.2235
La -2.6215 -2.6230 1.9770
La -0.6074 -0.2323 0.2899
La -3.3049 -2.7993 -1.4078
La -7.7904 1.0915 7.3717
Pr -12.1020 2.8394 5.8529
Pr -9.2242 1.8024 4.3520
```

---

Record 4
## AcLa2Pr3 (PBE)

Data for a geometry-optimized AcLa2Pr3 structure.

Properties
For the polymorph energy (0 for the lowest one), the calculation gives 2.93 kcal/mol of atoms. The formation energy comes out at 0.141 eV/atom.

extended XYZ file:
```
12
Lattice="7.0043 0.0000 0.0000 0.0000 7.9249 1.2986 0.0000 -1.3755 7.9119" Properties=species:S:1:pos:R:3 pbc="T T T"
Ac 5.2533 5.8801 8.2692
Ac 1.7511 0.6693 0.9413
La 5.2533 3.0345 1.2957
La 1.7511 3.5149 7.9147
La 1.7511 6.3219 5.9187
La 5.2533 0.2275 3.2917
Pr 1.7511 2.6838 3.7742
Pr 5.2533 3.8656 5.4363
Pr 3.5022 1.0084 6.2168
Pr 0.0000 1.0084 6.2168
Pr 3.5022 5.5410 2.9937
Pr 0.0000 5.5410 2.9937
```

---

Record 5
## AcLa5Pr6 (PBE)

Data for a geometry-optimized AcLa5Pr6 structure.

Properties
The formation energy comes out at 0.013 eV/atom.

extended XYZ file:
```
12
Lattice="-9.9274 -4.9617 5.4776 2.8503 -4.5947 3.6138 1.9406 1.3699 6.0630" Properties=species:S:1:pos:R:3 pbc="T T T"
Ac 0.0000 0.0000 0.0000
La -3.1951 -2.3349 7.3814
La 1.5970 -1.0747 3.2259
La -3.5385 -4.7782 4.5457
La 3.1939 -2.1501 6.4509
La -1.9413 -5.8516 7.7731
Pr -6.5390 -3.6356 6.4322
Pr -0.1924 -3.4614 5.5135
Pr -1.7849 -2.4065 2.2897
Pr -5.2922 -7.1499 6.8017
Pr -4.9440 -4.7250 9.6410
Pr 1.4025 -4.5509 8.7223
```

---

Record 6
## Ac3LaPr7 (PBE)

Data for a geometry-optimized Ac3LaPr7 structure.

Properties
The formation energy comes out at 0.226 eV/atom.

extended XYZ file:
```
11
Lattice="6.0844 -0.3358 -0.4301 -2.5091 8.5609 1.2797 -2.5091 -0.8339 8.6157" Properties=species:S:1:pos:R:3 pbc="T T T"
Ac -2.5091 6.5833 2.8239
Ac 3.0422 -0.1679 -0.2150
Ac -2.5091 1.1437 7.0715
La 0.5331 3.6956 4.7327
Pr 0.2296 1.5799 2.0232
Pr -2.1959 7.9193 6.2404
Pr 3.2620 3.2568 0.2695
Pr -2.1959 4.1344 9.1959
Pr -2.5091 3.8635 4.9477
Pr 3.2620 -0.5281 3.2250
Pr 0.8365 5.8113 7.4422
```

---

Record 7
## Ac2La5Pr (PBE)

Data for a geometry-optimized Ac2La5Pr structure.

Properties
The formation energy comes out at 0.013 eV/atom.

extended XYZ file:
```
16
Lattice="-2.4242 -4.7872 -0.1273 5.7821 -2.8224 -3.9712 6.9496 -3.8613 12.8631" Properties=species:S:1:pos:R:3 pbc="T T T"
Ac 4.5698 -5.5090 6.9858
Ac 5.7378 -5.9620 1.7788
Ac 1.1077 -3.5845 0.5455
Ac 9.1999 -7.8864 8.2191
La 0.0000 0.0000 0.0000
La 6.3659 -3.3419 4.4460
La 8.0928 -4.3022 7.6746
La 4.6390 -2.3815 1.2173
La 1.7524 -0.9728 3.2112
La 10.9794 -5.7110 5.6808
La 6.2880 -6.4646 10.2026
La 4.0196 -5.0063 -1.4380
La 2.8547 -4.5542 3.7426
La 7.4529 -6.9167 5.0221
Pr 3.4748 -1.9307 6.4316
Pr 2.8911 -1.4112 -1.9856
```

---

Record 8
## Ac6La3Pr2 (PBE)

Data for a geometry-optimized Ac6La3Pr2 structure.

Properties
The formation energy comes out at 0.172 eV/atom.

extended XYZ file:
```
11
Lattice="6.4458 0.0000 1.9288 3.2229 5.8397 0.9644 -1.3075 0.0000 12.2885" Properties=species:S:1:pos:R:3 pbc="T T T"
Ac 3.8772 3.8964 10.5929
Ac 3.8681 0.0000 10.5982
Ac 0.6543 1.9433 9.6285
Ac 1.2702 0.0000 3.6191
Ac 4.4839 1.9433 4.5888
Ac 7.7068 3.8964 5.5532
La 0.0000 0.0000 0.0000
La 3.2229 1.9383 0.9644
La 6.4458 3.9014 1.9288
Pr 2.5691 3.8982 7.1086
Pr 5.7920 1.9415 8.0731
```

---

Record 9
## Ac6La2Pr (PBE)

Data for a geometry-optimized Ac6La2Pr structure.

Properties
The formation energy comes out at 0.070 eV/atom.

extended XYZ file:
```
9
Lattice="-1.8517 2.6834 2.1740 -2.0643 -2.5421 -2.1523 -0.5452 -18.5608 22.4454" Properties=species:S:1:pos:R:3 pbc="T T T"
Ac -2.4095 -15.6353 20.7782
Ac -2.2307 -8.8778 9.0579
Ac -2.4188 -15.2811 16.8013
Ac -2.1133 -4.8802 4.2237
Ac -2.3014 -11.2835 11.9671
Ac -1.9808 -1.0423 3.1310
La -2.1024 -5.1812 8.1361
La -2.2879 -11.4965 15.7731
Pr -1.9934 -0.8002 -0.7102
```

---

Record 10
## Ac4La2Pr (PBE)

Data for a geometry-optimized Ac4La2Pr structure.

Properties
For the polymorph energy (0 for the lowest one), the calculation gives 1.68 kcal/mol of atoms. The formation energy comes out at 0.110 eV/atom.

extended XYZ file:
```
14
Lattice="6.0602 0.0000 -0.3583 0.0000 7.5262 0.0000 -2.2904 0.0000 12.9064" Properties=species:S:1:pos:R:3 pbc="T T T"
Ac 3.2357 3.7614 3.4573
Ac 3.6842 5.6446 10.7794
Ac 0.0856 1.8815 1.7687
Ac 3.2357 0.0017 3.4573
Ac 3.4643 1.8815 7.0636
Ac 0.5341 7.5244 9.0908
Ac 0.5341 3.7648 9.0908
Ac 0.3055 5.6446 5.4845
La 3.0745 5.6446 0.0546
La 0.6953 1.8815 12.4935
La 0.3171 1.8815 5.3706
La 3.4527 5.6446 7.1775
Pr 0.1379 5.6446 1.9311
Pr 3.6319 1.8815 10.6170
```

---

Record 11
## AcLa6Pr10 (PBE)

Data for a geometry-optimized AcLa6Pr10 structure.

Properties
The formation energy comes out at 0.116 eV/atom.

extended XYZ file:
```
17
Lattice="-5.4268 -4.7788 -0.0940 0.0815 0.1059 -10.0906 5.7351 -6.6117 5.0231" Properties=species:S:1:pos:R:3 pbc="T T T"
Ac -2.7134 -2.3894 -0.0470
La -1.5816 -5.7293 -1.9549
La -0.1547 -7.4489 3.0847
La -3.6998 -3.2366 -6.3923
La 1.9714 -5.5552 -3.2066
La 0.4630 -3.9416 1.8443
La -1.6455 -1.4362 -3.7924
Pr -0.2963 -8.6666 -3.7412
Pr -2.9118 -5.7958 1.3140
Pr -4.4785 -3.9342 -2.8742
Pr 0.6861 -2.6180 -1.4203
Pr 3.2201 -5.5947 3.6151
Pr -0.8668 -0.7386 -7.3105
Pr 1.1372 -6.7619 -0.0618
Pr -0.7473 -4.5227 -5.0997
Pr 1.9661 -2.1333 -5.0527
Pr 3.8506 -4.3725 -0.0148
```

---

Record 12
## Ac4LaPr3 (PBE)

Data for a geometry-optimized Ac4LaPr3 structure.

Properties
The formation energy comes out at 0.022 eV/atom.

extended XYZ file:
```
16
Lattice="7.6730 0.0000 0.0000 0.0000 7.6722 0.0000 0.0000 0.0000 11.0261" Properties=species:S:1:pos:R:3 pbc="T T T"
Pr 7.6712 2.3804 0.0000
Pr 1.9142 0.4644 8.2677
Pr 5.7589 4.3005 8.2716
Pr 0.0018 6.2165 5.5131
Pr 5.7589 4.3005 2.7546
Pr 1.9142 0.4644 2.7585
Ac 7.6684 6.2255 0.0000
Ac 3.8416 2.3771 0.0000
Ac 5.7579 0.4644 8.2581
Ac 1.9151 4.3005 8.2811
Ac 3.8314 6.2132 5.5131
Ac 0.0047 2.3893 5.5131
Ac 1.9151 4.3005 2.7450
Ac 5.7579 0.4644 2.7680
La 3.8388 6.2230 0.0000
La 3.8342 2.3869 5.5131
```

---

Record 13
## Ac7LaPr3 (PBE)

Data for a geometry-optimized Ac7LaPr3 structure.

Properties
For the polymorph energy (0 for the lowest one), the calculation gives 0.10 kcal/mol of atoms. The formation energy comes out at 0.228 eV/atom.

extended XYZ file:
```
11
Lattice="6.9358 0.0908 0.5492 0.5641 8.3015 1.0156 0.0912 -0.1252 8.3810" Properties=species:S:1:pos:R:3 pbc="T T T"
Ac 5.5117 1.9928 2.6338
Ac 5.7107 7.6687 6.2127
Ac 2.0429 3.4946 1.2016
Ac 5.5481 4.7725 8.7442
Ac 0.3276 4.0881 4.6983
Ac 1.8803 0.5983 3.7331
Ac 2.0793 6.2743 7.3119
La 3.7955 4.1335 4.9729
Pr 0.4860 6.9097 2.2321
Pr 3.4679 0.0454 0.2746
Pr 0.1693 1.2666 7.1645
```

---

Record 14
## Ac5La2Pr12 (PBE)

Data for a geometry-optimized Ac5La2Pr12 structure.

Properties
The formation energy comes out at 0.127 eV/atom.

extended XYZ file:
```
19
Lattice="7.1221 0.0000 -2.2896 -0.9378 8.5908 -2.9170 0.0144 -0.1258 12.2667" Properties=species:S:1:pos:R:3 pbc="T T T"
Ac 4.8980 4.3452 3.0138
Ac 4.5738 0.7311 2.0053
Ac -0.4689 4.2954 -1.4585
Ac 1.6250 7.7338 5.0548
Ac 1.3008 4.1198 4.0463
La 5.3042 0.0000 -1.7052
La 1.8179 0.0000 -0.5844
Pr 5.2246 7.9960 4.0299
Pr 2.4800 6.7290 1.5315
Pr 5.9992 6.7290 0.4001
Pr 2.2738 3.2268 0.6570
Pr 5.6571 3.2268 -0.4306
Pr 3.2522 5.9226 -2.1054
Pr 2.9465 2.5424 9.1655
Pr 3.9250 5.2382 6.4031
Pr 0.5416 5.2382 7.4907
Pr 3.7188 1.7359 5.5286
Pr 0.1996 1.7359 6.6599
Pr 0.9741 0.4689 3.0302
```

---

Record 15
## Ac4La7Pr (PBE)

Data for a geometry-optimized Ac4La7Pr structure.

Properties
The formation energy comes out at 0.021 eV/atom.

extended XYZ file:
```
12
Lattice="-5.9041 -3.2249 -3.7054 -2.4946 -8.9528 -4.1310 -2.4755 -4.6510 7.9650" Properties=species:S:1:pos:R:3 pbc="T T T"
Ac -5.6952 -9.6660 -2.2821
Ac -5.1790 -7.1628 2.4107
Ac -7.8819 -12.3981 -0.5389
Ac -2.9923 -4.4307 0.6675
La -8.1209 -11.5011 3.1115
La -2.7533 -5.3276 -2.9829
La -8.0930 -8.7308 0.6190
La -2.7812 -8.0979 -0.4904
La -4.9099 -10.8299 1.3099
La -2.9521 -1.6125 -1.8527
La -5.9643 -5.9989 -1.1813
Pr 0.0000 0.0000 0.0000
```

---

Record 16
## Ac2La7Pr2 (PBE)

Data for a geometry-optimized Ac2La7Pr2 structure.

Properties
The formation energy comes out at 0.117 eV/atom.

extended XYZ file:
```
11
Lattice="-2.6971 5.4503 -1.8218 -1.6397 -5.3917 -6.2854 -5.8053 -3.7254 4.8667" Properties=species:S:1:pos:R:3 pbc="T T T"
Ac -1.9578 -1.5015 -0.5069
Ac -8.1842 -2.1653 -2.7335
La -5.7424 -3.0242 -5.2610
La -2.1055 -1.5603 -4.1212
La -4.3996 -0.6427 2.0206
La -8.0366 -2.1065 0.8808
La -1.3485 2.7252 -0.9109
La -5.0925 -3.5769 -1.3677
La -5.0495 -0.0899 -1.8727
Pr -4.8625 -4.1026 2.3427
Pr -2.5825 -5.0146 -3.7613
```

---

Record 17
## AcLa5Pr (PBE)

Data for a geometry-optimized AcLa5Pr structure.

Properties
For the polymorph energy (0 for the lowest one), the calculation gives 1.57 kcal/mol of atoms. The formation energy comes out at 0.134 eV/atom.

extended XYZ file:
```
14
Lattice="-3.5201 5.9241 1.9287 -1.7637 0.7763 6.8915 7.1311 9.5163 7.3472" Properties=species:S:1:pos:R:3 pbc="T T T"
Ac -1.2499 6.8747 5.1428
Ac 3.0973 9.3421 11.0247
La -1.7354 6.6063 8.7782
La 1.9425 6.7862 6.7538
La 1.4085 12.6005 11.2602
La -0.2777 4.0253 7.8897
La 3.5997 13.8098 13.4526
La -1.7523 2.4070 2.7148
La 2.1251 12.1914 8.2778
La 0.4389 3.6163 4.9072
La -0.0951 9.4306 9.4137
La 3.5828 9.6105 7.3893
Pr 0.0000 0.0000 0.0000
Pr 3.5656 4.7582 3.6736
```

---

Record 18
## AcLa8Pr5 (PBE)

Data for a geometry-optimized AcLa8Pr5 structure.

Properties
The formation energy comes out at 0.204 eV/atom.

extended XYZ file:
```
14
Lattice="-8.0615 2.6168 -2.5978 0.4421 -8.8036 0.9407 1.4281 4.1916 7.6796" Properties=species:S:1:pos:R:3 pbc="T T T"
Ac -0.7233 -0.6039 5.5806
La -0.9115 -5.7492 0.8791
La -6.4303 4.4058 2.7684
La -5.1729 1.0563 0.7735
La -4.0487 2.1829 5.7118
La -3.5877 -2.6951 1.4177
La -3.0303 -3.0457 5.7585
La -2.0106 0.3986 2.6389
La 0.4266 -4.5346 4.1421
Pr -0.0087 -2.1275 1.2444
Pr -6.2930 -4.9502 0.0122
Pr -5.2573 -0.8175 4.0692
Pr -3.3167 3.4042 2.5409
Pr -0.8237 3.9047 6.7191
```

---

Record 19
## Ac5La3Pr4 (PBE)

Data for a geometry-optimized Ac5La3Pr4 structure.

Properties
For the polymorph energy (0 for the lowest one), the calculation gives 0.00 kcal/mol of atoms. The formation energy comes out at 0.026 eV/atom.

extended XYZ file:
```
12
Lattice="7.3942 0.3885 -2.0525 -1.8231 7.5229 -5.3249 -4.3284 -3.9350 12.5796" Properties=species:S:1:pos:R:3 pbc="T T T"
Ac -2.3681 1.8592 6.1810
Ac 1.5329 -1.7732 5.2635
Ac 4.6375 4.0491 -4.1926
Ac -3.3948 -0.0727 9.3948
Ac 3.6107 2.1173 -0.9788
La 2.5287 0.1746 2.1138
La -2.1642 -1.9675 6.2898
La -1.2861 3.8019 3.0883
Pr 2.3453 3.9967 2.0880
Pr 1.3378 2.0973 5.1866
Pr -0.0951 1.8792 0.0156
Pr -1.1026 -0.0203 3.1142
```

---

Number 1: density 6.52 Mg/m³, magnetic moment 0.00 μB per cell. Number 2: density 7.48 Mg/m³, magnetic moment 0.00 μB per cell. Number 3: density 6.70 Mg/m³, magnetic moment 0.00 μB per cell. Number 4: density 6.82 Mg/m³, magnetic moment 0.00 μB per cell. Number 5: density 6.57 Mg/m³, magnetic moment 0.00 μB per cell. Number 6: density 6.83 Mg/m³, magnetic moment 0.19 μB per cell. Number 7: density 6.98 Mg/m³, magnetic moment 0.00 μB per cell. Number 8: density 7.17 Mg/m³, magnetic moment 0.00 μB per cell. Number 9: density 7.63 Mg/m³, magnetic moment 0.00 μB per cell. Number 10: density 7.56 Mg/m³, magnetic moment 0.00 μB per cell. Number 11: density 6.43 Mg/m³, magnetic moment 0.00 μB per cell. Number 12: density 7.52 Mg/m³, magnetic moment 0.00 μB per cell. Number 13: density 7.40 Mg/m³, magnetic moment 0.00 μB per cell. Number 14: density 6.89 Mg/m³, magnetic moment 0.00 μB per cell. Number 15: density 7.04 Mg/m³, magnetic moment 0.00 μB per cell. Number 16: density 6.72 Mg/m³, magnetic moment 0.00 μB per cell. Number 17: density 6.59 Mg/m³, magnetic moment 0.00 μB per cell. Number 18: density 6.35 Mg/m³, magnetic moment 0.00 μB per cell. Number 19: density 7.30 Mg/m³, magnetic moment 0.00 μB per cell.